Entry 1:
## Tm8HgIr2 (PBE-GGA)

Data for crystalline Tm8HgIr2 at its relaxed geometry.

Cell: 7.7695 7.7695 5.4126 Å, 97.68 97.68 112.97°
With the nearest neighbours (Å) after each atom.
Sites, in units of the cell vectors:
Tm (0.0000, 0.0000, 0.0000)  2 Ir 2.99, 1 Hg 3.17, 1 Tm 3.31
Tm (0.0492, 0.3122, 0.6120)  2 Ir 2.83-2.86
Tm (0.1366, 0.6243, 0.1971)  2 Ir 2.84, 1 Hg 3.16
Tm (0.3122, 0.0492, 0.6120)  2 Ir 2.83-2.86
Tm (0.4483, 0.7115, 0.7824)  2 Ir 2.82-2.86
Tm (0.6243, 0.1366, 0.1971)  2 Ir 2.84, 1 Hg 3.16
Tm (0.7115, 0.4483, 0.7824)  2 Ir 2.82-2.86
Tm (0.7594, 0.7594, 0.3936)  2 Ir 2.99, 1 Hg 3.17, 1 Tm 3.31
Hg (0.3795, 0.3795, 0.1980)  4 Tm 3.16-3.17
Ir (0.0688, 0.6914, 0.6968)  8 Tm 2.82-2.99
Ir (0.6914, 0.0688, 0.6968)  8 Tm 2.82-2.99

Its space-group type is Cm (8). The calculation puts the calculated formation energy at -0.454 eV per atom. Its raw total energy is -5.344 eV per atom. For the mass density, the calculation gives 11.02 Mg/m³.


Entry 2:
## Tm2Hg2Ir (PBE-GGA)

Data for crystalline Tm2Hg2Ir at its relaxed geometry.

Cell: 3.4074 3.4074 19.2747 Å, 90.00 90.00 90.00°
With the nearest neighbours (Å) after each atom.
Sites, in units of the cell vectors:
Tm (0.0000, 0.0000, 0.0861)  4 Ir 2.93, 4 Hg 3.22
Tm (0.0000, 0.0000, 0.9139)  4 Ir 2.93, 4 Hg 3.22
Tm (0.5000, 0.5000, 0.4139)  4 Ir 2.93, 4 Hg 3.22
Tm (0.5000, 0.5000, 0.5861)  4 Ir 2.93, 4 Hg 3.22
Hg (0.0000, 0.0000, 0.3030)  8 Hg 3.16-3.41, 4 Tm 3.22
Hg (0.0000, 0.0000, 0.6970)  8 Hg 3.16-3.41, 4 Tm 3.22
Hg (0.5000, 0.5000, 0.1970)  8 Hg 3.16-3.41, 4 Tm 3.22
Hg (0.5000, 0.5000, 0.8030)  8 Hg 3.16-3.41, 4 Tm 3.22
Ir (0.0000, 0.0000, 0.5000)  8 Tm 2.93
Ir (0.5000, 0.5000, 0.0000)  8 Tm 2.93

Its space-group type is I4/mmm (139). The calculation puts the calculated formation energy at -0.594 eV per atom. Its raw total energy is -4.275 eV per atom. For the mass density, the calculation gives 13.82 Mg/m³.


Entry 3:
## Tm4HgIr (PBE-GGA)

Data for crystalline Tm4HgIr at its relaxed geometry.

Cell: 7.2708 6.9039 6.8232 Å, 90.00 91.88 90.00°
With the nearest neighbours (Å) after each atom.
Sites, in units of the cell vectors:
Tm (0.1407, 0.1573, 0.1713)  2 Ir 2.72-2.82
Tm (0.1407, 0.3427, 0.6712)  2 Ir 2.72-2.82
Tm (0.3164, 0.6471, 0.1317)  1 Ir 2.65, 1 Hg 2.93
Tm (0.3164, 0.8529, 0.6317)  1 Ir 2.65, 1 Hg 2.93
Tm (0.6836, 0.1471, 0.3683)  1 Ir 2.65, 1 Hg 2.93
Tm (0.6836, 0.3529, 0.8683)  1 Ir 2.65, 1 Hg 2.93
Tm (0.8593, 0.6573, 0.3288)  2 Ir 2.72-2.82
Tm (0.8593, 0.8427, 0.8288)  2 Ir 2.72-2.82
Hg (0.5000, 0.0000, 0.0000)  6 Tm 2.93-3.09
Hg (0.5000, 0.5000, 0.5000)  6 Tm 2.93-3.09
Ir (0.0000, 0.0000, 0.5000)  6 Tm 2.65-2.82
Ir (0.0000, 0.5000, 0.0000)  6 Tm 2.65-2.82

Its space-group type is P2_1/c (14). The calculation puts the calculated formation energy at -0.416 eV per atom. Its raw total energy is -4.924 eV per atom. For the mass density, the calculation gives 10.37 Mg/m³.


Entry 4:
## Tm6Hg3Ir (PBE-GGA)

Data for crystalline Tm6Hg3Ir at its relaxed geometry.

Cell: 8.7815 11.5782 5.0307 Å, 90.00 90.00 90.00°
With the nearest neighbours (Å) after each atom.
Sites, in units of the cell vectors:
Tm (0.0140, 0.2406, 0.0000)  1 Ir 2.79, 4 Hg 2.96-3.01
Tm (0.1520, 0.0832, 0.5000)  2 Ir 3.01, 1 Hg 3.20, 3 Tm 3.29-3.33
Tm (0.1940, 0.4143, 0.5000)  1 Ir 2.86, 2 Hg 3.20
Tm (0.3060, 0.9143, 0.0000)  1 Ir 2.86, 2 Hg 3.20
Tm (0.3480, 0.5832, 0.0000)  2 Ir 3.01, 1 Hg 3.20, 3 Tm 3.29-3.33
Tm (0.4860, 0.7406, 0.5000)  1 Ir 2.79, 4 Hg 2.96-3.01
Tm (0.5140, 0.2594, 0.5000)  1 Ir 2.79, 4 Hg 2.96-3.01
Tm (0.6520, 0.4168, 0.0000)  2 Ir 3.01, 1 Hg 3.20, 3 Tm 3.29-3.33
Tm (0.6940, 0.0857, 0.0000)  1 Ir 2.86, 2 Hg 3.20
Tm (0.8060, 0.5857, 0.5000)  1 Ir 2.86, 2 Hg 3.20
Tm (0.8480, 0.9168, 0.5000)  2 Ir 3.01, 1 Hg 3.20, 3 Tm 3.29-3.33
Tm (0.9860, 0.7594, 0.0000)  1 Ir 2.79, 4 Hg 2.96-3.01
Hg (0.0000, 0.5000, 0.0000)  8 Tm 3.01-3.20
Hg (0.1512, 0.7104, 0.5000)  3 Tm 2.96
Hg (0.3488, 0.2104, 0.0000)  3 Tm 2.96
Hg (0.5000, 0.0000, 0.5000)  8 Tm 3.01-3.20
Hg (0.6512, 0.7896, 0.0000)  3 Tm 2.96
Hg (0.8488, 0.2896, 0.5000)  3 Tm 2.96
Ir (0.0000, 0.0000, 0.0000)  8 Tm 2.79-3.01
Ir (0.5000, 0.5000, 0.5000)  8 Tm 2.79-3.01

Its space-group type is Pnnm (58). The calculation puts the calculated formation energy at -0.468 eV per atom. Its raw total energy is -4.128 eV per atom. For the mass density, the calculation gives 11.74 Mg/m³.


Entry 5:
## Tm4HgIr3 (PBE-GGA)

Data for crystalline Tm4HgIr3 at its relaxed geometry.

Cell: 4.9252 4.9252 6.7629 Å, 90.00 90.00 90.00°
With the nearest neighbours (Å) after each atom.
Sites, in units of the cell vectors:
Tm (0.0000, 0.5000, 0.2388)  6 Ir 2.94-3.03, 2 Hg 3.03, 1 Tm 3.23
Tm (0.0000, 0.5000, 0.7612)  6 Ir 2.94-3.03, 2 Hg 3.03, 1 Tm 3.23
Tm (0.5000, 0.0000, 0.2388)  6 Ir 2.94-3.03, 2 Hg 3.03, 1 Tm 3.23
Tm (0.5000, 0.0000, 0.7612)  6 Ir 2.94-3.03, 2 Hg 3.03, 1 Tm 3.23
Hg (0.0000, 0.0000, 0.5000)  8 Tm 3.03, 2 Ir 3.38
Ir (0.0000, 0.0000, 0.0000)  8 Tm 2.94
Ir (0.5000, 0.5000, 0.0000)  8 Tm 2.94
Ir (0.5000, 0.5000, 0.5000)  8 Tm 3.03, 2 Ir 3.38

Its space-group type is P4/mmm (123). The calculation puts the calculated formation energy at -0.778 eV per atom. Its raw total energy is -6.374 eV per atom. For the mass density, the calculation gives 14.71 Mg/m³.


Entry 6:
## TmZrHgIr (PBE-GGA)

Data for crystalline TmZrHgIr at its relaxed geometry.

Cell: 6.9250 6.9250 6.9250 Å, 90.00 90.00 90.00°
With the nearest neighbours (Å) after each atom.
Sites, in units of the cell vectors:
Tm (0.0000, 0.0000, 0.0000)  4 Ir 3.00, 4 Hg 3.00
Tm (0.0000, 0.5000, 0.5000)  4 Ir 3.00, 4 Hg 3.00
Tm (0.5000, 0.0000, 0.5000)  4 Ir 3.00, 4 Hg 3.00
Tm (0.5000, 0.5000, 0.0000)  4 Ir 3.00, 4 Hg 3.00
Zr (0.0000, 0.0000, 0.5000)  4 Hg 3.00, 4 Ir 3.00
Zr (0.0000, 0.5000, 0.0000)  4 Hg 3.00, 4 Ir 3.00
Zr (0.5000, 0.0000, 0.0000)  4 Hg 3.00, 4 Ir 3.00
Zr (0.5000, 0.5000, 0.5000)  4 Hg 3.00, 4 Ir 3.00
Hg (0.2500, 0.2500, 0.7500)  4 Zr 3.00, 4 Tm 3.00
Hg (0.2500, 0.7500, 0.2500)  4 Zr 3.00, 4 Tm 3.00
Hg (0.7500, 0.2500, 0.2500)  4 Zr 3.00, 4 Tm 3.00
Hg (0.7500, 0.7500, 0.7500)  4 Zr 3.00, 4 Tm 3.00
Ir (0.2500, 0.2500, 0.2500)  4 Zr 3.00, 4 Tm 3.00
Ir (0.2500, 0.7500, 0.7500)  4 Zr 3.00, 4 Tm 3.00
Ir (0.7500, 0.2500, 0.7500)  4 Zr 3.00, 4 Tm 3.00
Ir (0.7500, 0.7500, 0.2500)  4 Zr 3.00, 4 Tm 3.00

Its space-group type is F-43m (216). The calculation puts the calculated formation energy at -0.481 eV per atom. Its raw total energy is -6.027 eV per atom. For the mass density, the calculation gives 13.06 Mg/m³.


Entry 7:
## VHg2Ir (PBE-GGA)

Data for crystalline VHg2Ir at its relaxed geometry.

Cell: 7.7068 7.7068 5.3959 Å, 90.00 90.00 90.00°
With the nearest neighbours (Å) after each atom.
Sites, in units of the cell vectors:
V (0.0000, 0.0000, 0.0000)  2 Ir 2.70, 4 Hg 2.87
V (0.0000, 0.5000, 0.2500)  2 Ir 2.70, 4 Hg 2.87
V (0.5000, 0.0000, 0.7500)  2 Ir 2.70, 4 Hg 2.87
V (0.5000, 0.5000, 0.5000)  2 Ir 2.70, 4 Hg 2.87
Hg (0.2376, 0.2500, 0.6250)  2 Hg 2.70, 2 Ir 2.74, 2 V 2.87
Hg (0.2500, 0.7376, 0.8750)  2 Hg 2.70, 2 Ir 2.74, 2 V 2.87
Hg (0.2500, 0.7624, 0.3750)  2 Hg 2.70, 2 Ir 2.74, 2 V 2.87
Hg (0.2624, 0.2500, 0.1250)  2 Hg 2.70, 2 Ir 2.74, 2 V 2.87
Hg (0.7376, 0.7500, 0.1250)  2 Hg 2.70, 2 Ir 2.74, 2 V 2.87
Hg (0.7500, 0.2376, 0.3750)  2 Hg 2.70, 2 Ir 2.74, 2 V 2.87
Hg (0.7500, 0.2624, 0.8750)  2 Hg 2.70, 2 Ir 2.74, 2 V 2.87
Hg (0.7624, 0.7500, 0.6250)  2 Hg 2.70, 2 Ir 2.74, 2 V 2.87
Ir (0.0000, 0.0000, 0.5000)  2 V 2.70, 4 Hg 2.74
Ir (0.0000, 0.5000, 0.7500)  2 V 2.70, 4 Hg 2.74
Ir (0.5000, 0.0000, 0.2500)  2 V 2.70, 4 Hg 2.74
Ir (0.5000, 0.5000, 0.0000)  2 V 2.70, 4 Hg 2.74

Its space-group type is I-42d (122). The calculation puts the calculated formation energy at 0.776 eV per atom. Its raw total energy is -3.870 eV per atom. For the mass density, the calculation gives 13.35 Mg/m³.


Entry 8:
## V2HgIr2 (PBE-GGA)

Data for crystalline V2HgIr2 at its relaxed geometry.

Cell: 7.4999 7.4999 2.7870 Å, 90.00 90.00 90.00°
With the nearest neighbours (Å) after each atom.
Sites, in units of the cell vectors:
V (0.1616, 0.3384, 0.0000)  6 Ir 2.61, 2 V 2.79
V (0.3384, 0.8384, 0.0000)  6 Ir 2.61, 2 V 2.79
V (0.6616, 0.1616, 0.0000)  6 Ir 2.61, 2 V 2.79
V (0.8384, 0.6616, 0.0000)  6 Ir 2.61, 2 V 2.79
Hg (0.0000, 0.0000, 0.5000)  2 Hg 2.79, 4 Ir 2.94
Hg (0.5000, 0.5000, 0.5000)  2 Hg 2.79, 4 Ir 2.94
Ir (0.1303, 0.6303, 0.5000)  6 V 2.61, 3 Ir 2.76-2.79
Ir (0.3697, 0.1303, 0.5000)  6 V 2.61, 3 Ir 2.76-2.79
Ir (0.6303, 0.8697, 0.5000)  6 V 2.61, 3 Ir 2.76-2.79
Ir (0.8697, 0.3697, 0.5000)  6 V 2.61, 3 Ir 2.76-2.79

Its space-group type is P4/mbm (127). The calculation puts the calculated formation energy at -0.223 eV per atom. Its raw total energy is -7.475 eV per atom. For the mass density, the calculation gives 14.55 Mg/m³.